# ErLuPb

ErLuPb after structural relaxation (GGA-PBE, OQMD).

Output
volume	31.1	Å³/atom
DFT total energy	-4.3788	eV per atom

Structure (CIF):
```
data_ErLuPb
_chemical_formula_sum 'Er4 Lu4 Pb4'
_space_group_name_H-M_alt 'F -4 3 m'
_space_group_IT_number 216
_space_group_name_Hall 'F -4 2 3'
_cell_length_a 7.200
_cell_length_b 7.200
_cell_length_c 7.200
_cell_angle_alpha 90.00
_cell_angle_beta 90.00
_cell_angle_gamma 90.00
loop_
_atom_site_label
_atom_site_type_symbol
_atom_site_fract_x
_atom_site_fract_y
_atom_site_fract_z
Er1 Er 0.000 0.000 0.000
Lu1 Lu 0.000 0.000 0.500
Pb1 Pb 0.250 0.250 0.250
```


# Zr2CoTc

Zr2CoTc after structural relaxation (GGA-PBE, OQMD).

Output
volume	16.9	Å³/atom
DFT total energy	-8.9998	eV per atom

Structure (CIF):
```
data_Zr2CoTc
_chemical_formula_sum 'Zr8 Co4 Tc4'
_space_group_name_H-M_alt 'F m -3 m'
_space_group_IT_number 225
_space_group_name_Hall '-F 4 2 3'
_cell_length_a 6.470
_cell_length_b 6.470
_cell_length_c 6.470
_cell_angle_alpha 90.00
_cell_angle_beta 90.00
_cell_angle_gamma 90.00
loop_
_atom_site_label
_atom_site_type_symbol
_atom_site_fract_x
_atom_site_fract_y
_atom_site_fract_z
Zr1 Zr 0.250 0.250 0.250
Co1 Co 0.000 0.000 0.000
Tc1 Tc 0.000 0.000 0.500
```


# CsHgAsO

CsHgAsO after structural relaxation (GGA-PBE, OQMD).

Output
volume	26.0	Å³/atom
DFT total energy	-2.9077	eV per atom

Structure (CIF):
```
data_CsHgAsO
_chemical_formula_sum 'Cs2 Hg2 As2 O2'
_space_group_name_H-M_alt 'P m c 21'
_space_group_IT_number 26
_cell_length_a 4.025
_cell_length_b 8.379
_cell_length_c 6.159
_cell_angle_alpha 90.00
_cell_angle_beta 90.00
_cell_angle_gamma 90.00
loop_
_space_group_symop_operation_xyz
'x,y,z'
'-x,-y,z+1/2'
'-x,y,z'
'x,-y,z+1/2'
loop_
_atom_site_label
_atom_site_type_symbol
_atom_site_fract_x
_atom_site_fract_y
_atom_site_fract_z
Cs1 Cs 0.000 0.169 0.000
Hg1 Hg 0.500 0.200 0.501
As1 As 0.000 0.420 0.495
O1 O 0.500 0.001 0.749
```


# Zr4NiSbC2

Zr4NiSbC2 after structural relaxation (GGA-PBE, OQMD).

Output
volume	16.5	Å³/atom
DFT total energy	-8.4117	eV per atom

Structure (CIF):
```
data_Zr4NiSbC2
_chemical_formula_sum 'Zr4 Ni1 Sb1 C2'
_space_group_name_H-M_alt 'P -6 m 2'
_space_group_IT_number 187
_space_group_name_Hall 'P -6 2'
_cell_length_a 3.3588
_cell_length_b 3.3588
_cell_length_c 13.5398
_cell_angle_alpha 90.00
_cell_angle_beta 90.00
_cell_angle_gamma 120.00
loop_
_atom_site_label
_atom_site_type_symbol
_atom_site_fract_x
_atom_site_fract_y
_atom_site_fract_z
Zr1 Zr 0.0000 0.0000 0.1387
Zr2 Zr 0.3333 0.6667 0.3282
Ni1 Ni 0.3333 0.6667 0.0000
Sb1 Sb 0.0000 0.0000 0.5000
C1 C 0.6667 0.3333 0.2361
```